The following is a DFT calculation (PBE) of an optimized crystal structure of SrMoS2.

abc: 4.5494 4.5494 22.6228
angles: 90.00 90.00 120.00
Space group R-3m (No. 166, hexagonal axes)
Unique sites:
Sr: 0.0000 0.0000 0.0000 x3
Mo: 0.0000 0.0000 0.5000 x3
S: 0.0000 0.0000 0.3976 x6

Calculated values
The final energy is -66.178 eV/cell. As for the formation energy from raw total energies: -0.323 eV/atom. The calculated density comes out at 3.043 g/cm3.

=====

The following is a DFT calculation (PBE) of an optimized crystal structure of SrMoS2.

abc: 3.5522 3.5522 26.0317
angles: 90.00 90.00 120.00
Space group R-3m (No. 166, hexagonal axes)
Unique sites:
Sr: 0.0000 0.0000 0.0000 x3
Mo: 0.0000 0.0000 0.5000 x3
S: 0.0000 0.0000 0.1123 x6

Calculated values
The final energy is -67.240 eV/cell. As for the formation energy from raw total energies: -0.411 eV/atom. The calculated density comes out at 4.338 g/cm3.

=====

The following is a DFT calculation (PBE) of an optimized crystal structure of SrMoS2.

abc: 6.610 6.610 6.610
angles: 90.00 90.00 90.00
Space group Fm-3m (No. 225)
Unique sites:
Sr: 0.000 0.000 0.000 x4
Mo: 0.000 0.000 0.500 x4
S: 0.250 0.250 0.250 x8

Calculated values
The final energy is -91.071 eV/cell. As for the formation energy from raw total energies: -0.500 eV/atom. The calculated density comes out at 5.697 g/cm3.

=====

The following is a DFT calculation (PBE) of an optimized crystal structure of SrMo6S8.

abc: 6.576 6.887 7.966
angles: 74.77 65.98 77.22
Space group P-1 (No. 2)
Unique sites:
Sr: 0.000 0.000 0.000 x1
Mo: 0.151 0.535 0.795 x2
Mo: 0.411 0.684 0.420 x2
Mo: 0.468 0.306 0.961 x2
S: 0.168 0.871 0.644 x2
S: 0.206 0.568 0.079 x2
S: 0.260 0.372 0.529 x2
S: 0.495 0.016 0.821 x2

Calculated values
The final energy is -107.682 eV/cell. As for the formation energy from raw total energies: -0.533 eV/atom. The calculated density comes out at 4.845 g/cm3.

=====

The following is a DFT calculation (PBE) of an optimized crystal structure of SrMoS3.

abc: 5.455 5.455 5.455
angles: 90.00 90.00 90.00
Space group Pm-3m (No. 221)
Unique sites:
Sr: 0.000 0.000 0.000 x1
Mo: 0.500 0.500 0.500 x1
S: 0.000 0.000 0.500 x3

Calculated values
The final energy is -20.396 eV/cell. As for the formation energy from raw total energies: 0.900 eV/atom. The calculated density comes out at 2.862 g/cm3.

=====

The following is a DFT calculation (PBE) of an optimized crystal structure of SrMo6S8.

abc: 9.2878 9.2878 11.6412
angles: 90.00 90.00 120.00
Space group R-3 (No. 148, hexagonal axes)
Unique sites:
Sr: 0.0000 0.0000 0.0000 x3
Mo: 0.0144 0.1739 0.4029 x18
S: 0.0000 0.0000 0.2454 x6
S: 0.0103 0.3761 0.2499 x18

Calculated values
The final energy is -339.607 eV/cell. As for the formation energy from raw total energies: -0.901 eV/atom. The calculated density comes out at 5.269 g/cm3.

=====

The following is a DFT calculation (PBE) of an optimized crystal structure of Sr2MoS.

abc: 11.018 11.018 4.528
angles: 90.00 90.00 90.00
Space group I-42d (No. 122)
Unique sites:
Sr: 0.082 0.750 0.125 x8
Mo: 0.000 0.000 0.500 x4
S: 0.000 0.000 0.000 x4

Calculated values
The final energy is -74.677 eV/cell. As for the formation energy from raw total energies: -0.087 eV/atom. The calculated density comes out at 3.664 g/cm3.

=====

The following is a DFT calculation (PBE) of an optimized crystal structure of SrMoS2.

abc: 5.767 5.767 12.574
angles: 90.00 90.00 90.00
Space group I-42d (No. 122)
Unique sites:
Sr: 0.000 0.000 0.000 x4
Mo: 0.000 0.000 0.500 x4
S: 0.158 0.250 0.625 x8

Calculated values
The final energy is -95.299 eV/cell. As for the formation energy from raw total energies: -0.764 eV/atom. The calculated density comes out at 3.934 g/cm3.

=====

The following is a DFT calculation (PBE) of an optimized crystal structure of SrMoS3.

abc: 4.765 4.765 4.765
angles: 90.00 90.00 90.00
Space group Pm-3m (No. 221)
Unique sites:
Sr: 0.000 0.000 0.000 x1
Mo: 0.500 0.500 0.500 x1
S: 0.000 0.500 0.500 x3

Calculated values
The final energy is -29.644 eV/cell. As for the formation energy from raw total energies: -0.950 eV/atom. The calculated density comes out at 4.294 g/cm3.

=====

The following is a DFT calculation (PBE) of an optimized crystal structure of SrTa2MoS.

abc: 4.717 4.717 6.453
angles: 90.00 90.00 90.00
Space group P4/mmm (No. 123)
Unique sites:
Sr: 0.000 0.000 0.000 x1
Ta: 0.000 0.500 0.500 x2
Mo: 0.000 0.000 0.500 x1
S: 0.500 0.500 0.000 x1

Calculated values
The final energy is -34.783 eV/cell. As for the formation energy from raw total energies: 1.113 eV/atom. The calculated density comes out at 6.678 g/cm3.

=====

The following is a DFT calculation (PBE) of an optimized crystal structure of SrVMoS2.

abc: 4.866 4.866 4.359
angles: 90.00 90.00 90.00
Space group P4/mmm (No. 123)
Unique sites:
Sr: 0.000 0.000 0.000 x1
V: 0.500 0.500 0.500 x1
Mo: 0.500 0.500 0.000 x1
S: 0.000 0.500 0.500 x2

Calculated values
The final energy is -30.196 eV/cell. As for the formation energy from raw total energies: -0.062 eV/atom. The calculated density comes out at 4.804 g/cm3.

=====

The following is a DFT calculation (PBE) of an optimized crystal structure of TaMoS.

abc: 3.1934 3.1934 23.7678
angles: 90.00 90.00 120.00
Space group P-3m1 (No. 164)
Unique sites:
Ta: 0.3333 0.6667 0.1264 x2
Ta: 0.3333 0.6667 0.6433 x2
Mo: 0.3333 0.6667 0.7819 x2
Mo: 0.3333 0.6667 0.9595 x2
S: 0.3333 0.6667 0.2854 x2
S: 0.3333 0.6667 0.4245 x2

Calculated values
The final energy is -111.043 eV/cell. As for the formation energy from raw total energies: -0.316 eV/atom. The calculated density comes out at 9.776 g/cm3.

=====

Among the records above, which one has the highest calculated density? TaMoS

=====

Which value of final energy does entry 1 give? -66.178 eV/cell

=====

Which value of final energy does entry 8 give? -95.299 eV/cell